Record 1
# GGA-PBEsol ZrHg2, relaxed
# Total magnetization: 0.00 μB per formula unit
# Theoretical density: 13.2 Mg/m³
# Energy of formation: -18 kJ per mole of atoms
# Crystal system: orthorhombic
data_ZrHg2
_chemical_formula_sum 'Zr4 Hg8'
_cell_length_a 4.342
_cell_length_b 12.924
_cell_length_c 4.408
_cell_angle_alpha 90.00
_cell_angle_beta 90.00
_cell_angle_gamma 90.00
_symmetry_space_group_name_H-M 'C m c m'
_symmetry_Int_Tables_number 63
_symmetry_space_group_name_Hall '-C 2c 2'
loop_
_atom_site_label
_atom_site_type_symbol
_atom_site_fract_x
_atom_site_fract_y
_atom_site_fract_z
Zr1 Zr 0.000 0.088 0.250
Hg1 Hg 0.000 0.251 0.750
Hg2 Hg 0.000 0.420 0.250



Record 2
# GGA-PBEsol Ti2BeInSb, relaxed
# Total magnetization: 1.63 μB per formula unit
# Uncorrected formation energy: 4.19 eV/f.u.
# Theoretical density: 5.2 Mg/m³
# Crystal system: tetragonal
data_Ti2BeInSb
_chemical_formula_sum 'Ti2 Be1 In1 Sb1'
_cell_length_a 5.056
_cell_length_b 5.056
_cell_length_c 4.257
_cell_angle_alpha 90.00
_cell_angle_beta 90.00
_cell_angle_gamma 90.00
_symmetry_space_group_name_H-M 'P 4/m m m'
_symmetry_Int_Tables_number 123
_symmetry_space_group_name_Hall '-P 4 2'
loop_
_atom_site_label
_atom_site_type_symbol
_atom_site_fract_x
_atom_site_fract_y
_atom_site_fract_z
Ti1 Ti 0.000 0.500 0.000
Be1 Be 0.000 0.000 0.500
In1 In 0.000 0.000 0.000
Sb1 Sb 0.500 0.500 0.500



Record 3
# GGA-PBEsol AsHRh2, relaxed
# Total magnetization: 0.00 μB per formula unit
# Total energy: -100.68 eV per cell
# Theoretical density: 9.3 Mg/m³
# Crystal system: tetragonal
data_AsHRh2
_chemical_formula_sum 'As4 H4 Rh8'
_cell_length_a 4.875
_cell_length_b 4.875
_cell_length_c 8.504
_cell_angle_alpha 90.00
_cell_angle_beta 90.00
_cell_angle_gamma 90.00
_symmetry_space_group_name_H-M 'I -4 2 d'
_symmetry_Int_Tables_number 122
_symmetry_space_group_name_Hall 'I -4 2bw'
loop_
_atom_site_label
_atom_site_type_symbol
_atom_site_fract_x
_atom_site_fract_y
_atom_site_fract_z
As1 As 0.000 0.000 0.000
H1 H 0.000 0.000 0.500
Rh1 Rh 0.146 0.750 0.625



Record 4
# GGA-PBEsol W4Au, relaxed
# Total magnetization: 0.00 μB per formula unit
# Theoretical density: 16.5 Mg/m³
# Energy of formation: 108 kJ per mole of atoms
# Crystal system: tetragonal
data_W4Au
_chemical_formula_sum 'W8 Au2'
_cell_length_a 4.083
_cell_length_b 4.083
_cell_length_c 11.232
_cell_angle_alpha 90.00
_cell_angle_beta 90.00
_cell_angle_gamma 90.00
_symmetry_space_group_name_H-M 'I 4/m m m'
_symmetry_Int_Tables_number 139
_symmetry_space_group_name_Hall '-I 4 2'
loop_
_atom_site_label
_atom_site_type_symbol
_atom_site_fract_x
_atom_site_fract_y
_atom_site_fract_z
W1 W 0.000 0.000 0.115
W2 W 0.000 0.500 0.250
Au1 Au 0.000 0.000 0.500



Record 5
# GGA-PBEsol GeSI2N, relaxed
# Total magnetization: 0.00 μB per formula unit
# Uncorrected formation energy: 4.19 eV/f.u.
# Theoretical density: 5.4 Mg/m³
# Crystal system: tetragonal
data_GeSI2N
_chemical_formula_sum 'Ge1 S1 I2 N1'
_cell_length_a 5.783
_cell_length_b 5.783
_cell_length_c 3.418
_cell_angle_alpha 90.00
_cell_angle_beta 90.00
_cell_angle_gamma 90.00
_symmetry_space_group_name_H-M 'P 4/m m m'
_symmetry_Int_Tables_number 123
_symmetry_space_group_name_Hall '-P 4 2'
loop_
_atom_site_label
_atom_site_type_symbol
_atom_site_fract_x
_atom_site_fract_y
_atom_site_fract_z
Ge1 Ge 0.000 0.000 0.000
S1 S 0.500 0.500 0.500
I1 I 0.000 0.500 0.000
N1 N 0.000 0.000 0.500



Record 6
# GGA-PBEsol K2LiY, relaxed
# Total magnetization: 0.00 μB per formula unit
# Theoretical density: 1.8 Mg/m³
# Energy of formation: 46 kJ per mole of atoms
# Crystal system: orthorhombic
data_K2LiY
_chemical_formula_sum 'K2 Li1 Y1'
_cell_length_a 3.723
_cell_length_b 6.374
_cell_length_c 6.822
_cell_angle_alpha 90.00
_cell_angle_beta 90.00
_cell_angle_gamma 90.00
_symmetry_space_group_name_H-M 'P m m m'
_symmetry_Int_Tables_number 47
loop_
_symmetry_equiv_pos_as_xyz
'x,y,z'
'-x,-y,-z'
'-x,-y,z'
'x,y,-z'
'x,-y,-z'
'-x,y,z'
'-x,y,-z'
'x,-y,z'
loop_
_atom_site_label
_atom_site_type_symbol
_atom_site_fract_x
_atom_site_fract_y
_atom_site_fract_z
K1 K 0.000 0.000 0.000
K2 K 0.500 0.500 0.000
Li1 Li 0.000 0.500 0.500
Y1 Y 0.500 0.000 0.500



Record 7
# GGA-PBEsol TaCoTe2I, relaxed
# Total magnetization: 1.32 μB per formula unit
# Uncorrected formation energy: 4.62 eV/f.u.
# Theoretical density: 8.8 Mg/m³
# Crystal system: tetragonal
data_TaCoTe2I
_chemical_formula_sum 'Ta1 Co1 Te2 I1'
_cell_length_a 4.873
_cell_length_b 4.873
_cell_length_c 4.933
_cell_angle_alpha 90.00
_cell_angle_beta 90.00
_cell_angle_gamma 90.00
_symmetry_space_group_name_H-M 'P 4/m m m'
_symmetry_Int_Tables_number 123
_symmetry_space_group_name_Hall '-P 4 2'
loop_
_atom_site_label
_atom_site_type_symbol
_atom_site_fract_x
_atom_site_fract_y
_atom_site_fract_z
Ta1 Ta 0.000 0.000 0.000
Co1 Co 0.500 0.500 0.500
Te1 Te 0.000 0.500 0.500
I1 I 0.500 0.500 0.000



Record 8
# GGA-PBEsol Na3VO4, relaxed
# Total magnetization: 0.00 μB per formula unit
# Uncorrected formation energy: -17.00 eV/f.u.
# Theoretical density: 2.6 Mg/m³
# Crystal system: tetragonal
data_Na3VO4
_chemical_formula_sum 'Na6 V2 O8'
_cell_length_a 4.995
_cell_length_b 4.995
_cell_length_c 9.500
_cell_angle_alpha 90.00
_cell_angle_beta 90.00
_cell_angle_gamma 90.00
_symmetry_space_group_name_H-M 'I -4 2 m'
_symmetry_Int_Tables_number 121
_symmetry_space_group_name_Hall 'I -4 2'
loop_
_atom_site_label
_atom_site_type_symbol
_atom_site_fract_x
_atom_site_fract_y
_atom_site_fract_z
Na1 Na 0.000 0.000 0.000
Na2 Na 0.000 0.500 0.250
V1 V 0.000 0.000 0.500
O1 O 0.200 0.200 0.604



Record 9
# GGA-PBEsol TlCd2W, relaxed
# Total magnetization: 0.00 μB per formula unit
# Theoretical density: 12.5 Mg/m³
# Energy of formation: 49 kJ per mole of atoms
# Crystal system: tetragonal
data_TlCd2W
_chemical_formula_sum 'Tl1 Cd2 W1'
_cell_length_a 2.918
_cell_length_b 2.918
_cell_length_c 9.575
_cell_angle_alpha 90.00
_cell_angle_beta 90.00
_cell_angle_gamma 90.00
_symmetry_space_group_name_H-M 'P 4/m m m'
_symmetry_Int_Tables_number 123
_symmetry_space_group_name_Hall '-P 4 2'
loop_
_atom_site_label
_atom_site_type_symbol
_atom_site_fract_x
_atom_site_fract_y
_atom_site_fract_z
Tl1 Tl 0.000 0.000 0.000
Cd1 Cd 0.500 0.500 0.281
W1 W 0.000 0.000 0.500



Record 10
# GGA-PBEsol VO2, relaxed
# Total magnetization: 1.00 μB per formula unit
# Uncorrected formation energy: -6.96 eV/f.u.
# Theoretical density: 4.0 Mg/m³
# Crystal system: orthorhombic
data_VO2
_chemical_formula_sum 'V8 O16'
_cell_length_a 5.626
_cell_length_b 8.298
_cell_length_c 5.895
_cell_angle_alpha 90.00
_cell_angle_beta 90.00
_cell_angle_gamma 90.00
_symmetry_space_group_name_H-M 'C m c m'
_symmetry_Int_Tables_number 63
_symmetry_space_group_name_Hall '-C 2c 2'
loop_
_atom_site_label
_atom_site_type_symbol
_atom_site_fract_x
_atom_site_fract_y
_atom_site_fract_z
V1 V 0.000 0.000 0.000
V2 V 0.000 0.355 0.250
O1 O 0.000 0.231 0.026
O2 O 0.235 0.022 0.750



Record 11
# GGA-PBEsol HfPbO3, relaxed
# Total magnetization: 0.00 μB per formula unit
# Uncorrected formation energy: -12.97 eV/f.u.
# Theoretical density: 10.6 Mg/m³
# Crystal system: orthorhombic
data_HfPbO3
_chemical_formula_sum 'Hf4 Pb4 O12'
_cell_length_a 5.781
_cell_length_b 8.164
_cell_length_c 5.776
_cell_angle_alpha 90.00
_cell_angle_beta 90.00
_cell_angle_gamma 90.00
_symmetry_space_group_name_H-M 'P n m a'
_symmetry_Int_Tables_number 62
loop_
_symmetry_equiv_pos_as_xyz
'x,y,z'
'-x,-y,-z'
'-x+1/2,-y,z+1/2'
'x+1/2,y,-z+1/2'
'x+1/2,-y+1/2,-z+1/2'
'-x+1/2,y+1/2,z+1/2'
'-x,y+1/2,-z'
'x,-y+1/2,z'
loop_
_atom_site_label
_atom_site_type_symbol
_atom_site_fract_x
_atom_site_fract_y
_atom_site_fract_z
Hf1 Hf 0.000 0.000 0.000
Pb1 Pb 0.017 0.250 0.494
O1 O 0.009 0.750 0.064
O2 O 0.219 0.534 0.719



Record 12
# GGA-PBEsol CrTc2Ir, relaxed
# Total magnetization: 0.00 μB per formula unit
# Theoretical density: 13.6 Mg/m³
# Energy of formation: -2 kJ per mole of atoms
# Crystal system: orthorhombic
data_CrTc2Ir
_chemical_formula_sum 'Cr1 Tc2 Ir1'
_cell_length_a 2.669
_cell_length_b 3.751
_cell_length_c 5.355
_cell_angle_alpha 90.00
_cell_angle_beta 90.00
_cell_angle_gamma 90.00
_symmetry_space_group_name_H-M 'P m m 2'
_symmetry_Int_Tables_number 25
loop_
_symmetry_equiv_pos_as_xyz
'x,y,z'
'-x,-y,z'
'-x,y,z'
'x,-y,z'
loop_
_atom_site_label
_atom_site_type_symbol
_atom_site_fract_x
_atom_site_fract_y
_atom_site_fract_z
Cr1 Cr 0.000 0.000 0.000
Tc1 Tc 0.000 0.000 0.507
Tc2 Tc 0.500 0.500 0.755
Ir1 Ir 0.500 0.500 0.239



Record 13
# GGA-PBEsol BaTl3In, relaxed
# Total magnetization: 0.00 μB per formula unit
# Theoretical density: 5.9 Mg/m³
# Energy of formation: 71 kJ per mole of atoms
# Crystal system: cubic
data_BaTl3In
_chemical_formula_sum 'Ba1 Tl3 In1'
_cell_length_a 6.238
_cell_length_b 6.238
_cell_length_c 6.238
_cell_angle_alpha 90.00
_cell_angle_beta 90.00
_cell_angle_gamma 90.00
_symmetry_space_group_name_H-M 'P m -3 m'
_symmetry_Int_Tables_number 221
_symmetry_space_group_name_Hall '-P 4 2 3'
loop_
_atom_site_label
_atom_site_type_symbol
_atom_site_fract_x
_atom_site_fract_y
_atom_site_fract_z
Ba1 Ba 0.000 0.000 0.000
Tl1 Tl 0.000 0.000 0.500
In1 In 0.500 0.500 0.500



Record 14
# GGA-PBEsol RbBeAsSe2, relaxed
# Total magnetization: 0.00 μB per formula unit
# Uncorrected formation energy: -0.40 eV/f.u.
# Theoretical density: 5.0 Mg/m³
# Crystal system: tetragonal
data_RbBeAsSe2
_chemical_formula_sum 'Rb1 Be1 As1 Se2'
_cell_length_a 4.953
_cell_length_b 4.953
_cell_length_c 4.453
_cell_angle_alpha 90.00
_cell_angle_beta 90.00
_cell_angle_gamma 90.00
_symmetry_space_group_name_H-M 'P 4/m m m'
_symmetry_Int_Tables_number 123
_symmetry_space_group_name_Hall '-P 4 2'
loop_
_atom_site_label
_atom_site_type_symbol
_atom_site_fract_x
_atom_site_fract_y
_atom_site_fract_z
Rb1 Rb 0.000 0.000 0.000
Be1 Be 0.500 0.500 0.500
As1 As 0.500 0.500 0.000
Se1 Se 0.000 0.500 0.500



Record 15
# GGA-PBEsol CrPtSe, relaxed
# Total magnetization: 0.01 μB per formula unit
# Uncorrected formation energy: 0.06 eV/f.u.
# Theoretical density: 11.8 Mg/m³
# Crystal system: tetragonal
data_CrPtSe
_chemical_formula_sum 'Cr2 Pt2 Se2'
_cell_length_a 2.800
_cell_length_b 2.800
_cell_length_c 11.745
_cell_angle_alpha 90.00
_cell_angle_beta 90.00
_cell_angle_gamma 90.00
_symmetry_space_group_name_H-M 'I 4 m m'
_symmetry_Int_Tables_number 107
_symmetry_space_group_name_Hall 'I 4 -2'
loop_
_atom_site_label
_atom_site_type_symbol
_atom_site_fract_x
_atom_site_fract_y
_atom_site_fract_z
Cr1 Cr 0.000 0.000 0.000
Pt1 Pt 0.000 0.000 0.356
Se1 Se 0.000 0.000 0.624



Record 16
# GGA-PBEsol TlZnAg2, relaxed
# Total magnetization: 0.00 μB per formula unit
# Theoretical density: 11.1 Mg/m³
# Energy of formation: 11 kJ per mole of atoms
# Crystal system: orthorhombic
data_TlZnAg2
_chemical_formula_sum 'Tl2 Zn2 Ag4'
_cell_length_a 3.133
_cell_length_b 4.919
_cell_length_c 9.423
_cell_angle_alpha 90.00
_cell_angle_beta 90.00
_cell_angle_gamma 90.00
_symmetry_space_group_name_H-M 'I m m m'
_symmetry_Int_Tables_number 71
_symmetry_space_group_name_Hall '-I 2 2'
loop_
_atom_site_label
_atom_site_type_symbol
_atom_site_fract_x
_atom_site_fract_y
_atom_site_fract_z
Tl1 Tl 0.000 0.000 0.000
Zn1 Zn 0.000 0.000 0.500
Ag1 Ag 0.000 0.500 0.229



Record 17
# GGA-PBEsol Re2Pt, relaxed
# Total magnetization: 0.00 μB per formula unit
# Theoretical density: 20.9 Mg/m³
# Energy of formation: 23 kJ per mole of atoms
# Crystal system: hexagonal
data_Re2Pt
_chemical_formula_sum 'Re2 Pt1'
_cell_length_a 4.3463
_cell_length_b 4.3463
_cell_length_c 2.7625
_cell_angle_alpha 90.00
_cell_angle_beta 90.00
_cell_angle_gamma 120.00
_symmetry_space_group_name_H-M 'P 6/m m m'
_symmetry_Int_Tables_number 191
_symmetry_space_group_name_Hall '-P 6 2'
loop_
_atom_site_label
_atom_site_type_symbol
_atom_site_fract_x
_atom_site_fract_y
_atom_site_fract_z
Re1 Re 0.3333 0.6667 0.0000
Pt1 Pt 0.0000 0.0000 0.5000



Record 18
# GGA-PBEsol Na2NbSbAu, relaxed
# Total magnetization: 3.25 μB per formula unit
# Uncorrected formation energy: 5.48 eV/f.u.
# Theoretical density: 4.3 Mg/m³
# Crystal system: tetragonal
data_Na2NbSbAu
_chemical_formula_sum 'Na2 Nb1 Sb1 Au1'
_cell_length_a 5.824
_cell_length_b 5.824
_cell_length_c 5.221
_cell_angle_alpha 90.00
_cell_angle_beta 90.00
_cell_angle_gamma 90.00
_symmetry_space_group_name_H-M 'P 4/m m m'
_symmetry_Int_Tables_number 123
_symmetry_space_group_name_Hall '-P 4 2'
loop_
_atom_site_label
_atom_site_type_symbol
_atom_site_fract_x
_atom_site_fract_y
_atom_site_fract_z
Na1 Na 0.000 0.500 0.000
Nb1 Nb 0.000 0.000 0.000
Sb1 Sb 0.000 0.000 0.500
Au1 Au 0.500 0.500 0.500



Record 19
# GGA-PBEsol HgRhW2, relaxed
# Total magnetization: 0.00 μB per formula unit
# Theoretical density: 17.7 Mg/m³
# Energy of formation: 41 kJ per mole of atoms
# Crystal system: tetragonal
data_HgRhW2
_chemical_formula_sum 'Hg1 Rh1 W2'
_cell_length_a 3.849
_cell_length_b 3.849
_cell_length_c 4.254
_cell_angle_alpha 90.00
_cell_angle_beta 90.00
_cell_angle_gamma 90.00
_symmetry_space_group_name_H-M 'P 4/m m m'
_symmetry_Int_Tables_number 123
_symmetry_space_group_name_Hall '-P 4 2'
loop_
_atom_site_label
_atom_site_type_symbol
_atom_site_fract_x
_atom_site_fract_y
_atom_site_fract_z
Hg1 Hg 0.000 0.000 0.000
Rh1 Rh 0.500 0.500 0.000
W1 W 0.000 0.500 0.500



Record 20
# GGA-PBEsol Mg2AlAu2, relaxed
# Total magnetization: 0.00 μB per formula unit
# Theoretical density: 8.5 Mg/m³
# Energy of formation: -44 kJ per mole of atoms
# Crystal system: tetragonal
data_Mg2AlAu2
_chemical_formula_sum 'Mg4 Al2 Au4'
_cell_length_a 6.997
_cell_length_b 6.997
_cell_length_c 3.739
_cell_angle_alpha 90.00
_cell_angle_beta 90.00
_cell_angle_gamma 90.00
_symmetry_space_group_name_H-M 'P 4/m b m'
_symmetry_Int_Tables_number 127
_symmetry_space_group_name_Hall '-P 4 2ab'
loop_
_atom_site_label
_atom_site_type_symbol
_atom_site_fract_x
_atom_site_fract_y
_atom_site_fract_z
Mg1 Mg 0.157 0.343 0.000
Al1 Al 0.000 0.000 0.500
Au1 Au 0.147 0.647 0.500